Record 1
Crystalline CrHg2Cl4 at its relaxed geometry. Source: Alexandria, functional PBE.

Output
Calculated volume ... 27.188 Å³/atom
Raw formation energy ... -3.61 eV per formula unit
Space group ... No. 139
M_tot ... 2.30 Bohr magnetons per cell

POSCAR file:
```
CrHg2Cl4
1.0
-2.386 2.386 8.359
2.386 -2.386 8.359
2.386 2.386 -8.359
Cr Hg Cl
1 2 4
direct
0.000 0.000 0.000 Cr
0.343 0.343 0.000 Hg
0.657 0.657 0.000 Hg
0.000 0.500 0.500 Cl
0.139 0.139 0.000 Cl
0.500 0.000 0.500 Cl
0.861 0.861 0.000 Cl
```

Record 2
Crystalline CrHgCl2 at its relaxed geometry. Source: Alexandria, functional PBE.

Output
Calculated volume ... 27.177 Å³/atom
Raw formation energy ... -1.45 eV per formula unit
Space group ... No. 35
M_tot ... 4.00 Bohr magnetons per cell

POSCAR file:
```
CrHgCl2
1.0
1.771 -3.453 0.000
1.771 3.453 0.000
0.000 0.000 8.887
Cr Hg Cl
1 1 2
direct
0.000 0.000 0.000 Cr
0.500 0.500 0.763 Hg
0.000 0.000 0.550 Cl
0.500 0.500 0.171 Cl
```

Record 3
Crystalline CrHgCl2 at its relaxed geometry. Source: Alexandria, functional PBE.

Output
Calculated volume ... 32.567 Å³/atom
Raw formation energy ... -2.61 eV per formula unit
Space group ... No. 10
M_tot ... 4.00 Bohr magnetons per cell

POSCAR file:
```
CrHgCl2
1.0
4.118 0.000 0.000
0.000 3.409 0.000
-1.302 0.000 9.278
Cr Hg Cl
1 1 2
direct
0.000 0.000 0.000 Cr
0.500 0.000 0.500 Hg
0.136 0.500 0.845 Cl
0.864 0.500 0.155 Cl
```

Record 4
Crystalline CrHgCl2 at its relaxed geometry. Source: Alexandria, functional PBE.

Output
Calculated volume ... 22.600 Å³/atom
Raw formation energy ... -0.77 eV per formula unit
Space group ... No. 99
M_tot ... 4.00 Bohr magnetons per cell

POSCAR file:
```
CrHgCl2
1.0
3.333 0.000 0.000
0.000 3.333 0.000
0.000 0.000 8.137
Cr Hg Cl
1 1 2
direct
0.000 0.000 0.000 Cr
0.500 0.500 0.241 Hg
0.000 0.000 0.445 Cl
0.500 0.500 0.839 Cl
```

Record 5
Crystalline CrHgCl2 at its relaxed geometry. Source: Alexandria, functional PBE.

Output
Calculated volume ... 21.927 Å³/atom
Raw formation energy ... -0.09 eV per formula unit
Space group ... No. 225
M_tot ... 4.01 Bohr magnetons per cell

POSCAR file:
```
CrHgCl2
1.0
0.000 3.526 3.526
3.526 0.000 3.526
3.526 3.526 0.000
Cr Hg Cl
1 1 2
direct
0.000 0.000 0.000 Cr
0.500 0.500 0.500 Hg
0.250 0.250 0.250 Cl
0.750 0.750 0.750 Cl
```

Record 6
Crystalline CrHgCl2 at its relaxed geometry. Source: Alexandria, functional PBE.

Output
Calculated volume ... 30.750 Å³/atom
Raw formation energy ... -2.72 eV per formula unit
Space group ... No. 8
M_tot ... 4.00 Bohr magnetons per cell

POSCAR file:
```
CrHgCl2
1.0
6.307 -1.706 0.000
6.307 1.706 0.000
-2.956 0.000 5.716
Cr Hg Cl
1 1 2
direct
0.000 0.000 0.000 Cr
0.773 0.773 0.533 Hg
0.428 0.428 0.155 Cl
0.585 0.585 0.872 Cl
```

Record 7
Crystalline CrHgCl at its relaxed geometry. Source: Alexandria, functional PBE.

Output
Calculated volume ... 25.369 Å³/atom
Raw formation energy ... 0.30 eV per formula unit
Space group ... No. 216
M_tot ... 5.00 Bohr magnetons per cell

POSCAR file:
```
CrHgCl
1.0
0.000 3.364 3.364
3.364 0.000 3.364
3.364 3.364 0.000
Cr Hg Cl
1 1 1
direct
0.000 0.000 0.000 Cr
0.250 0.250 0.250 Hg
0.750 0.750 0.750 Cl
```

Record 8
Crystalline CrHgCl2 at its relaxed geometry. Source: Alexandria, functional PBE.

Output
Calculated volume ... 24.063 Å³/atom
Raw formation energy ... -0.25 eV per formula unit
Space group ... No. 119
M_tot ... 4.72 Bohr magnetons per cell

POSCAR file:
```
CrHgCl2
1.0
-1.970 1.970 6.202
1.970 -1.970 6.202
1.970 1.970 -6.202
Cr Hg Cl
1 1 2
direct
0.000 0.000 0.000 Cr
0.250 0.750 0.500 Hg
0.500 0.500 0.000 Cl
0.750 0.250 0.500 Cl
```

Record 9
Crystalline Cr2HgCl at its relaxed geometry. Source: Alexandria, functional PBE.

Output
Calculated volume ... 23.394 Å³/atom
Raw formation energy ... 1.23 eV per formula unit
Space group ... No. 12
M_tot ... 8.05 Bohr magnetons per cell

POSCAR file:
```
Cr2HgCl
1.0
4.631 -1.594 0.000
4.631 1.594 0.000
-4.331 0.000 6.339
Cr Hg Cl
2 1 1
direct
0.136 0.136 0.314 Cr
0.864 0.864 0.686 Cr
0.500 0.500 0.500 Hg
0.500 0.500 0.000 Cl
```

Record 10
Crystalline Cr2HgCl at its relaxed geometry. Source: Alexandria, functional PBE.

Output
Calculated volume ... 23.859 Å³/atom
Raw formation energy ... 2.32 eV per formula unit
Space group ... No. 122
M_tot ... 18.27 Bohr magnetons per cell

POSCAR file:
```
Cr2HgCl
1.0
-2.385 2.385 8.385
2.385 -2.385 8.385
2.385 2.385 -8.385
Cr Hg Cl
4 2 2
direct
0.085 0.625 0.960 Cr
0.375 0.335 0.460 Cr
0.665 0.125 0.040 Cr
0.875 0.915 0.540 Cr
0.250 0.750 0.500 Hg
0.500 0.500 0.000 Hg
0.000 0.000 0.000 Cl
0.750 0.250 0.500 Cl
```

Record 11
Crystalline Cr2HgCl at its relaxed geometry. Source: Alexandria, functional PBE.

Output
Calculated volume ... 21.317 Å³/atom
Raw formation energy ... 3.17 eV per formula unit
Space group ... No. 216
M_tot ... 9.06 Bohr magnetons per cell

POSCAR file:
```
Cr2HgCl
1.0
0.000 3.493 3.493
3.493 0.000 3.493
3.493 3.493 0.000
Cr Hg Cl
2 1 1
direct
0.000 0.000 0.000 Cr
0.250 0.250 0.250 Cr
0.500 0.500 0.500 Hg
0.750 0.750 0.750 Cl
```

Record 12
Crystalline CrHgCl2 at its relaxed geometry. Source: Alexandria, functional PBE.

Output
Calculated volume ... 26.957 Å³/atom
Raw formation energy ... -1.59 eV per formula unit
Space group ... No. 44
M_tot ... 4.00 Bohr magnetons per cell

POSCAR file:
```
CrHgCl2
1.0
-1.721 3.448 4.543
1.721 -3.448 4.543
1.721 3.448 -4.543
Cr Hg Cl
1 1 2
direct
0.000 0.000 0.000 Cr
0.763 0.263 0.500 Hg
0.172 0.672 0.500 Cl
0.535 0.535 0.000 Cl
```